MnCuI2O | GGA+U | relaxed

a b c (Å): 5.6131 5.6131 3.6920
angles (deg): 90.00 90.00 90.00
Closest atoms and distances in Å follow each position.
Space group P4/mmm (No. 123)
Inequivalent atoms, fractional coordinates:
Mn 0.0000 0.0000 0.0000  8 I 3.36, 2 Mn 3.69
Cu 0.5000 0.5000 0.5000  2 O 1.85
I 0.0000 0.5000 0.5000  2 Cu 2.81
O 0.5000 0.5000 0.0000  2 Cu 1.85

## Properties
M_tot	5.915	Bohr magnetons per cell
distance to the lowest polymorph of the same formula	0.74	eV/f.u.